Entry 1:
A plane-wave DFT calculation with SCAN was carried out for ZnSiMo2 at its PBEsol-relaxed geometry.

Calculated values
For the final energy, the calculation gives -23.138 eV per atom. As for the excess energy over the best structure of this formula in the dataset: 36 kJ/mol of formula units. Its uncorrected formation energy is 0.188 eV/atom.

a b c (Å): 6.0605 6.0605 6.0605
angles (deg): 90.00 90.00 90.00
Closest atoms and distances in Å follow each position.
Space group Fm-3m (No. 225)
One atom of each set of equivalent atoms:
Zn (0.0000, 0.0000, 0.0000) [4 per cell]  8 Mo 2.62
Si (0.0000, 0.0000, 0.5000) [4 per cell]  8 Mo 2.62
Mo (0.2500, 0.2500, 0.2500) [8 per cell]  4 Si 2.62, 4 Zn 2.62


Entry 2:
A plane-wave DFT calculation with SCAN was carried out for LiLaBe at its PBEsol-relaxed geometry.

Calculated values
For the final energy, the calculation gives -16.216 eV per atom. As for the formation energy: 1.202 eV per formula unit.

a b c (Å): 6.6333 6.6333 6.6333
angles (deg): 90.00 90.00 90.00
Closest atoms and distances in Å follow each position.
Space group F-43m (No. 216)
One atom of each set of equivalent atoms:
Li (0.0000, 0.0000, 0.0000) [4 per cell]  4 Be 2.87
La (0.0000, 0.0000, 0.5000) [4 per cell]  4 Be 2.87
Be (0.2500, 0.2500, 0.2500) [4 per cell]  4 La 2.87, 4 Li 2.87


Entry 3:
A plane-wave DFT calculation with SCAN was carried out for SrOsNF2 at its PBEsol-relaxed geometry.

Calculated values
For the final energy, the calculation gives -23.377 eV per atom. Its uncorrected formation energy is -1.271 eV/atom.

a b c (Å): 4.4709 4.4709 3.7431
angles (deg): 90.00 90.00 90.00
Closest atoms and distances in Å follow each position.
Space group P4/mmm (No. 123)
One atom of each set of equivalent atoms:
Sr (0.0000, 0.0000, 0.0000) [1 per cell]  8 F 2.92, 4 N 3.16
Os (0.5000, 0.5000, 0.5000) [1 per cell]  2 N 1.87
N (0.5000, 0.5000, 0.0000) [1 per cell]  2 Os 1.87
F (0.0000, 0.5000, 0.5000) [2 per cell]  2 Os 2.24